Entry 1:
Density functional theory data (PBE) for a relaxed KCuSn2 crystal.

Summary:
The density of states at the Fermi level comes out at 0.74 states/eV per cell. As for the formation enthalpy at 0 K: -0.149 eV per atom.

a b c (Å): 4.373 4.373 7.617
angles (deg): 73.32 73.32 60.00
Atoms (fractional coordinates):
Sn (0.712, 0.712, 0.865)
Sn (0.288, 0.288, 0.135)
Cu (0.000, 0.000, 0.000)
K (0.500, 0.500, 0.500)

Entry 2:
Density functional theory data (PBE) for a relaxed MgSc2Al crystal.

Summary:
The density of states at the Fermi level comes out at 9.61 states/eV per cell. As for the formation enthalpy at 0 K: 0.342 eV per atom. Its energy above the most stable polymorph in this dataset is 0.630 eV/atom.

a b c (Å): 4.254 4.254 10.990
angles (deg): 78.84 78.84 90.00
Atoms (fractional coordinates):
Sc (0.112, 0.625, 0.250)
Sc (0.875, 0.888, 0.750)
Sc (0.375, 0.362, 0.750)
Sc (0.638, 0.125, 0.250)
Al (0.000, 0.000, 0.000)
Al (0.750, 0.250, 0.500)
Mg (0.250, 0.750, 0.500)
Mg (0.500, 0.500, 0.000)

Entry 3:
Density functional theory data (PBE) for a relaxed NaNiBr2Cl crystal.

Summary:
The density of states at the Fermi level comes out at 2.28 states/eV per cell. Its energy relative to the elements, uncorrected is -0.745 eV per atom.

a b c (Å): 5.051 5.051 4.624
angles (deg): 90.00 90.00 90.00
Atoms (fractional coordinates):
Na (0.500, 0.500, 0.500)
Br (0.500, 0.000, 0.000)
Br (0.000, 0.500, 0.000)
Ni (0.000, 0.000, 0.000)
Cl (0.000, 0.000, 0.500)

Entry 4:
Density functional theory data (PBE) for a relaxed Er5TeAs4 crystal.

Summary:
The density of states at the Fermi level comes out at 2.66 states/eV per cell. Its energy relative to the elements, uncorrected is -1.491 eV per atom.

a b c (Å): 4.116 5.855 10.957
angles (deg): 105.50 100.82 90.00
Atoms (fractional coordinates):
Te (0.000, 0.000, 0.000)
As (0.797, 0.797, 0.593)
As (0.203, 0.203, 0.407)
As (0.599, 0.599, 0.199)
As (0.401, 0.401, 0.801)
Er (0.612, 0.112, 0.223)
Er (0.802, 0.302, 0.603)
Er (0.000, 0.500, 0.000)
Er (0.198, 0.698, 0.397)
Er (0.388, 0.888, 0.777)

Entry 5:
Density functional theory data (PBE) for a relaxed NbAlNiOs crystal.

Summary:
The density of states at the Fermi level comes out at 2.69 states/eV per cell. As for the formation enthalpy at 0 K: -0.383 eV per atom.

a b c (Å): 4.350 4.350 4.350
angles (deg): 60.00 60.00 60.00
Atoms (fractional coordinates):
Al (0.500, 0.500, 0.500)
Ni (0.250, 0.250, 0.250)
Nb (0.000, 0.000, 0.000)
Os (0.750, 0.750, 0.750)

Entry 6:
Density functional theory data (PBE) for a relaxed TaCuMo2 crystal.

Summary:
The density of states at the Fermi level comes out at 3.02 states/eV per cell. As for the formation enthalpy at 0 K: 0.152 eV per atom. Its energy above the most stable polymorph in this dataset is 0.082 eV/atom.

a b c (Å): 5.045 5.045 5.045
angles (deg): 140.71 128.43 66.70
Atoms (fractional coordinates):
Mo (0.755, 0.255, 0.500)
Mo (0.992, 0.992, 0.000)
Cu (0.247, 0.747, 0.500)
Ta (0.506, 0.506, 0.000)